[1]
# Ce3Mg2Zn7 | Alexandria | PBE | relaxed
# energy of formation from the pure elements	-197	meV per atom
data_Ce3Mg2Zn7
_space_group_name_H-M_alt 'R -3 m'
_space_group_IT_number 166
_space_group_name_Hall '-R 3 2"'
_cell_length_a 5.5809
_cell_length_b 5.5809
_cell_length_c 26.6041
_cell_angle_alpha 90.00
_cell_angle_beta 90.00
_cell_angle_gamma 120.00
loop_
_atom_site_label
_atom_site_type_symbol
_atom_site_fract_x
_atom_site_fract_y
_atom_site_fract_z
Ce1 Ce 0.0000 0.0000 0.0000
Ce2 Ce 0.0000 0.0000 0.1435
Mg1 Mg 0.0000 0.0000 0.3343
Zn1 Zn 0.0000 0.0000 0.5000
Zn2 Zn 0.0056 0.5028 0.9150

[2]
# CoAsPb | Alexandria | PBE | relaxed
# energy of formation from the pure elements	80	meV per atom
# E above lowest polymorph	72	meV per atom
data_CoAsPb
_space_group_name_H-M_alt 'P 3 m 1'
_space_group_IT_number 156
_space_group_name_Hall 'P 3 -2"'
_cell_length_a 3.5166
_cell_length_b 3.5166
_cell_length_c 5.7666
_cell_angle_alpha 90.00
_cell_angle_beta 90.00
_cell_angle_gamma 120.00
loop_
_atom_site_label
_atom_site_type_symbol
_atom_site_fract_x
_atom_site_fract_y
_atom_site_fract_z
Co1 Co 0.0000 0.0000 0.0000
As1 As 0.6667 0.3333 0.8224
Pb1 Pb 0.3333 0.6667 0.3501

[3]
# KZr4BiO12 | Alexandria | PBE | relaxed
# formation energy (no corrections)	-2.268	eV per atom
data_KZr4BiO12
_space_group_name_H-M_alt 'A m m 2'
_space_group_IT_number 38
_space_group_name_Hall 'A 2 -2'
_cell_length_a 8.423
_cell_length_b 8.213
_cell_length_c 8.024
_cell_angle_alpha 90.00
_cell_angle_beta 90.00
_cell_angle_gamma 90.00
loop_
_atom_site_label
_atom_site_type_symbol
_atom_site_fract_x
_atom_site_fract_y
_atom_site_fract_z
K1 K 0.000 0.000 0.000
Zr1 Zr 0.249 0.240 0.714
Bi1 Bi 0.500 0.000 0.414
O1 O 0.000 0.223 0.716
O2 O 0.229 0.201 0.968
O3 O 0.275 0.000 0.264
O4 O 0.331 0.000 0.632
O5 O 0.500 0.228 0.287

[4]
# NaCuHg2 | Alexandria | PBE | relaxed
# energy of formation from the pure elements	133	meV per atom
# E above lowest polymorph	150	meV per atom
data_NaCuHg2
_space_group_name_H-M_alt 'I -4 2 d'
_space_group_IT_number 122
_space_group_name_Hall 'I -4 2bw'
_cell_length_a 4.701
_cell_length_b 4.701
_cell_length_c 18.620
_cell_angle_alpha 90.00
_cell_angle_beta 90.00
_cell_angle_gamma 90.00
loop_
_atom_site_label
_atom_site_type_symbol
_atom_site_fract_x
_atom_site_fract_y
_atom_site_fract_z
Na1 Na 0.000 0.000 0.000
Cu1 Cu 0.000 0.000 0.500
Hg1 Hg 0.194 0.250 0.625

[5]
# ScCu2Pd2 | Alexandria | PBE | relaxed
# energy of formation from the pure elements	-366	meV per atom
# E above lowest polymorph	108	meV per atom
data_ScCu2Pd2
_space_group_name_H-M_alt 'I 4/m m m'
_space_group_IT_number 139
_space_group_name_Hall '-I 4 2'
_cell_length_a 3.483
_cell_length_b 3.483
_cell_length_c 13.316
_cell_angle_alpha 90.00
_cell_angle_beta 90.00
_cell_angle_gamma 90.00
loop_
_atom_site_label
_atom_site_type_symbol
_atom_site_fract_x
_atom_site_fract_y
_atom_site_fract_z
Sc1 Sc 0.000 0.000 0.000
Cu1 Cu 0.000 0.500 0.250
Pd1 Pd 0.000 0.000 0.398

[6]
# Al2Ag8Au | Alexandria | PBE | relaxed
# energy of formation from the pure elements	101	meV per atom
data_Al2Ag8Au
_space_group_name_H-M_alt 'C 1 2/m 1'
_space_group_IT_number 12
_space_group_name_Hall '-C 2y'
_cell_length_a 11.288
_cell_length_b 9.137
_cell_length_c 4.409
_cell_angle_alpha 90.00
_cell_angle_beta 102.15
_cell_angle_gamma 90.00
loop_
_atom_site_label
_atom_site_type_symbol
_atom_site_fract_x
_atom_site_fract_y
_atom_site_fract_z
Al1 Al 0.134 0.000 0.055
Ag1 Ag 0.088 0.500 0.799
Ag2 Ag 0.091 0.264 0.297
Ag3 Ag 0.246 0.500 0.383
Au1 Au 0.000 0.000 0.500

[7]
# NiPd9Pt2 | Alexandria | PBE | relaxed
# energy of formation from the pure elements	-4	meV per atom
data_NiPd9Pt2
_space_group_name_H-M_alt 'P 4/m m m'
_space_group_IT_number 123
_space_group_name_Hall '-P 4 2'
_cell_length_a 3.928
_cell_length_b 3.928
_cell_length_c 11.787
_cell_angle_alpha 90.00
_cell_angle_beta 90.00
_cell_angle_gamma 90.00
loop_
_atom_site_label
_atom_site_type_symbol
_atom_site_fract_x
_atom_site_fract_y
_atom_site_fract_z
Ni1 Ni 0.000 0.000 0.000
Pd1 Pd 0.000 0.500 0.160
Pd2 Pd 0.000 0.500 0.500
Pd3 Pd 0.500 0.500 0.000
Pd4 Pd 0.500 0.500 0.329
Pt1 Pt 0.000 0.000 0.331

[8]
# TmNpIn | Alexandria | PBE | relaxed
# energy of formation from the pure elements	98	meV per atom
data_TmNpIn
_space_group_name_H-M_alt 'C 1 2/m 1'
_space_group_IT_number 12
_space_group_name_Hall '-C 2y'
_cell_length_a 10.470
_cell_length_b 5.330
_cell_length_c 6.639
_cell_angle_alpha 90.00
_cell_angle_beta 124.32
_cell_angle_gamma 90.00
loop_
_atom_site_label
_atom_site_type_symbol
_atom_site_fract_x
_atom_site_fract_y
_atom_site_fract_z
Tm1 Tm 0.012 0.000 0.259
Np1 Np 0.131 0.500 0.680
In1 In 0.166 0.500 0.209

[9]
# HoGe2I8 | Alexandria | PBE | relaxed
# formation energy (no corrections)	-0.604	eV per atom
data_HoGe2I8
_space_group_name_H-M_alt 'C 1 2/m 1'
_space_group_IT_number 12
_space_group_name_Hall '-C 2y'
_cell_length_a 13.454
_cell_length_b 11.693
_cell_length_c 7.674
_cell_angle_alpha 90.00
_cell_angle_beta 103.94
_cell_angle_gamma 90.00
loop_
_atom_site_label
_atom_site_type_symbol
_atom_site_fract_x
_atom_site_fract_y
_atom_site_fract_z
Ho1 Ho 0.000 0.000 0.000
Ge1 Ge 0.188 0.000 0.655
I1 I 0.086 0.180 0.794
I2 I 0.120 0.500 0.158
I3 I 0.204 0.000 0.279

[10]
# KLaH2Se | Alexandria | PBE | relaxed
# energy	-4.076	eV per atom
data_KLaH2Se
_space_group_name_H-M_alt 'P 4/m m m'
_space_group_IT_number 123
_space_group_name_Hall '-P 4 2'
_cell_length_a 4.729
_cell_length_b 4.729
_cell_length_c 5.845
_cell_angle_alpha 90.00
_cell_angle_beta 90.00
_cell_angle_gamma 90.00
loop_
_atom_site_label
_atom_site_type_symbol
_atom_site_fract_x
_atom_site_fract_y
_atom_site_fract_z
K1 K 0.000 0.000 0.000
La1 La 0.500 0.500 0.500
H1 H 0.000 0.500 0.500
Se1 Se 0.500 0.500 0.000

[11]
# RbIn2Pd | Alexandria | PBE | relaxed
# energy of formation from the pure elements	-216	meV per atom
data_RbIn2Pd
_space_group_name_H-M_alt 'P 4/m m m'
_space_group_IT_number 123
_space_group_name_Hall '-P 4 2'
_cell_length_a 3.468
_cell_length_b 3.468
_cell_length_c 8.962
_cell_angle_alpha 90.00
_cell_angle_beta 90.00
_cell_angle_gamma 90.00
loop_
_atom_site_label
_atom_site_type_symbol
_atom_site_fract_x
_atom_site_fract_y
_atom_site_fract_z
Rb1 Rb 0.000 0.000 0.000
In1 In 0.500 0.500 0.325
Pd1 Pd 0.000 0.000 0.500

[12]
# Cu2BiSe2Cl | Alexandria | PBE | relaxed
# formation energy (no corrections)	-0.274	eV per atom
data_Cu2BiSe2Cl
_space_group_name_H-M_alt 'P 1 21/m 1'
_space_group_IT_number 11
_space_group_name_Hall '-P 2yb'
_cell_length_a 7.952
_cell_length_b 5.035
_cell_length_c 8.685
_cell_angle_alpha 90.00
_cell_angle_beta 112.62
_cell_angle_gamma 90.00
loop_
_atom_site_label
_atom_site_type_symbol
_atom_site_fract_x
_atom_site_fract_y
_atom_site_fract_z
Cu1 Cu 0.153 0.001 0.206
Bi1 Bi 0.299 0.250 0.534
Se1 Se 0.080 0.750 0.408
Se2 Se 0.441 0.250 0.286
Cl1 Cl 0.139 0.750 0.960